Li3Er3ScSe8 | PBE | optimized geometry

Summary:
symmetry = No. 166
formation energy (no corrections) = -1.596 eV/atom
calculated volume = 23.812 Å³ per atom

```
Li3Er3ScSe8
1.0
8.000 0.000 0.000
-4.000 6.928 -0.026
0.000 -4.598 6.462
Li Er Se Sc
3 3 8 1
Direct
0.000 0.000 0.000
0.000 0.500 0.000
0.500 0.500 0.000
0.500 0.500 0.500
0.000 0.500 0.500
0.500 0.000 0.500
0.243 0.486 0.745
0.757 0.998 0.255
0.241 0.998 0.255
0.757 0.514 0.255
0.759 0.002 0.745
0.243 0.002 0.745
0.248 0.496 0.245
0.752 0.504 0.755
0.000 0.000 0.500
```

---

Na2TlHg9 | PBE | optimized geometry

Summary:
symmetry = No. 123
DFT formation energy = -2.94 kcal/mol of atoms
calculated volume = 26.738 Å³ per atom

```
Na2TlHg9
1.0
-3.519 -3.276 0.460
3.273 -3.545 -0.212
1.372 0.448 13.681
Na Hg Tl
2 9 1
Direct
0.000 0.000 0.663
0.000 0.000 0.337
0.500 0.000 0.826
0.500 0.500 0.666
0.000 0.500 0.174
0.500 0.500 0.334
0.500 0.500 0.000
0.000 0.500 0.826
0.500 0.000 0.174
0.000 0.500 0.500
0.500 0.000 0.500
0.000 0.000 0.000
```

---

SrYAsSe2 | PBE | optimized geometry

Summary:
symmetry = No. 123
formation energy (no corrections) = -1.015 eV/atom
calculated volume = 32.228 Å³ per atom

```
SrYAsSe2
1.0
5.462 0.000 0.000
0.000 5.462 0.000
0.000 0.000 5.401
Y Sr Se As
1 1 2 1
Direct
0.000 0.000 0.000
0.500 0.500 0.500
0.000 0.500 0.000
0.500 0.000 0.000
0.000 0.000 0.500
```

---

ScInF | PBE | optimized geometry

Summary:
symmetry = No. 129
formation energy (no corrections) = -1.771 eV/atom
calculated volume = 17.782 Å³ per atom

```
ScInF
1.0
-1.658 2.916 -1.569
-2.242 0.303 2.932
5.119 4.752 3.424
Sc In F
2 2 2
Direct
0.000 0.500 0.826
0.500 0.000 0.174
0.500 0.000 0.600
0.000 0.500 0.400
0.500 0.500 0.000
0.000 0.000 0.000
```